First-principles (GGA-PBE) data for an optimized crystal structure of NiTeP4, as listed in Alexandria via LeMat-Bulk.

Output
- Fermi-level density of states (states/eV/f.u.) = 7.08
- space group = F-43m (216)
- calculated density (g/cm3) = 4.475
- formation energy from raw total energies (eV/atom) = 0.802

Cell: 5.4601 5.4601 5.4601 Å, 60.00 60.00 60.00°
Element x y z (fractional)
Ni1 0.0000 0.0000 0.0000
Te1 0.7500 0.7500 0.7500
P1 0.9384 0.3539 0.3539
P2 0.3539 0.3539 0.9384
P3 0.3539 0.9384 0.3539
P4 0.3539 0.3539 0.3539